{
  "formula": "ZrPaSe2",
  "functional": "PBE",
  "state": "optimized geometry",
  "cell": [[10.027, 0.000, 0.000], [0.000, 5.532, 0.000], [0.000, 0.000, 7.015]],
  "species": ["Zr", "Zr", "Zr", "Zr", "Pa", "Pa", "Pa", "Pa", "Se", "Se", "Se", "Se", "Se", "Se", "Se", "Se"],
  "fractional_positions": [[0.094, 0.250, 0.132], [0.406, 0.750, 0.632], [0.594, 0.250, 0.368], [0.906, 0.750, 0.868], [0.105, 0.250, 0.620], [0.395, 0.750, 0.120], [0.605, 0.250, 0.880], [0.895, 0.750, 0.380], [0.113, 0.750, 0.123], [0.129, 0.750, 0.626], [0.371, 0.250, 0.126], [0.387, 0.250, 0.623], [0.613, 0.750, 0.377], [0.629, 0.750, 0.874], [0.871, 0.250, 0.374], [0.887, 0.250, 0.877]],
  "crystal_system": "orthorhombic",
  "sg": "Pnma, No. 62",
  "m_tot_mub_per_fu": 0.00,
  "dft_energy_ev_per_fu": -28.700,
  "formation_energy_uncorrected_kj_per_mol_fu": -356
}